Record 1
Compound: Mg2ZnHg
Source: Alexandria
Functional: PBE
Structure: relaxed

Cell: 4.8946 5.0368 6.3688 Å, 90.00 90.00 90.00°
Atoms (fractional coordinates):
Mg (0.5000, 0.2013, 0.2507)
Mg (0.5000, 0.2013, 0.7493)
Mg (0.0000, 0.7987, 0.7507)
Mg (0.0000, 0.7987, 0.2493)
Zn (0.5000, 0.7002, 0.5000)
Zn (0.0000, 0.2998, 0.0000)
Hg (0.0000, 0.3085, 0.5000)
Hg (0.5000, 0.6915, 0.0000)

## Properties
formation enthalpy at 0 K = -141.4 meV per atom
crystal system = orthorhombic
SG = Pmmn (59)
density of states at the Fermi level = 1.225 states/eV/f.u.
offset from the most stable computed form = 3 kJ/mol of formula units

Record 2
Compound: Mg2ZnHg
Source: Alexandria
Functional: PBE
Structure: relaxed

Cell: 5.5285 5.5285 5.5285 Å, 139.52 131.88 64.65°
Atoms (fractional coordinates):
Mg (0.9950, 0.9950, 0.0000)
Mg (0.2598, 0.7598, 0.5000)
Zn (0.5052, 0.5052, 0.0000)
Hg (0.7399, 0.2399, 0.5000)

## Properties
formation enthalpy at 0 K = -89.4 meV per atom
crystal system = orthorhombic
SG = Imm2 (44)
density of states at the Fermi level = 1.414 states/eV/f.u.
offset from the most stable computed form = 23 kJ/mol of formula units

Record 3
Compound: MgZn3Hg
Source: Alexandria
Functional: PBE
Structure: relaxed

Cell: 5.0810 5.0810 5.0810 Å, 90.00 90.00 90.00°
Atoms (fractional coordinates):
Mg (0.5000, 0.5000, 0.5000)
Zn (0.0000, 0.5000, 0.0000)
Zn (0.0000, 0.0000, 0.5000)
Zn (0.5000, 0.0000, 0.0000)
Hg (0.0000, 0.0000, 0.0000)

## Properties
formation enthalpy at 0 K = 445.1 meV per atom
crystal system = cubic
SG = Pm-3m (221)
density of states at the Fermi level = 1.895 states/eV/f.u.
offset from the most stable computed form = 0 kJ/mol of formula units

Record 4
Compound: Mg2Zn3Hg
Source: Alexandria
Functional: PBE
Structure: relaxed

Cell: 3.1610 4.4593 7.8960 Å, 90.00 90.00 90.00°
Atoms (fractional coordinates):
Mg (0.0000, 0.5000, 0.9942)
Mg (0.0000, 0.0000, 0.5088)
Zn (0.5000, 0.0000, 0.8316)
Zn (0.5000, 0.0000, 0.1497)
Zn (0.5000, 0.5000, 0.6784)
Hg (0.5000, 0.5000, 0.3373)

## Properties
formation enthalpy at 0 K = -83.5 meV per atom
crystal system = orthorhombic
SG = Pmm2 (25)
density of states at the Fermi level = 2.710 states/eV/f.u.

Record 5
Compound: Mg2ZnHg
Source: Alexandria
Functional: PBE
Structure: relaxed

Cell: 6.5526 6.5526 6.5526 Å, 152.35 55.86 132.49°
Atoms (fractional coordinates):
Mg (0.7550, 0.0000, 0.7550)
Mg (0.2450, 0.0000, 0.2450)
Zn (0.0000, 0.0000, 0.0000)
Hg (0.5000, 0.0000, 0.5000)

## Properties
formation enthalpy at 0 K = 169.6 meV per atom
crystal system = orthorhombic
SG = Immm (71)
density of states at the Fermi level = 1.772 states/eV/f.u.
offset from the most stable computed form = 123 kJ/mol of formula units

Record 6
Compound: MgZnHg
Source: Alexandria
Functional: PBE
Structure: relaxed

Cell: 5.9126 5.9125 3.3158 Å, 73.72 73.72 32.57°
Atoms (fractional coordinates):
Hg (0.0048, 0.0048, 0.9952)
Mg (0.3263, 0.3263, 0.6737)
Zn (0.6689, 0.6689, 0.3311)

## Properties
formation enthalpy at 0 K = -32.5 meV per atom
crystal system = tetragonal
SG = I4mm (107)
density of states at the Fermi level = 1.045 states/eV/f.u.
offset from the most stable computed form = 17 kJ/mol of formula units

Record 7
Compound: MgZnHg
Source: Alexandria
Functional: PBE
Structure: relaxed

Cell: 4.6082 4.6082 3.2555 Å, 90.00 90.00 120.00°
Atoms (fractional coordinates):
Mg (0.6667, 0.3333, 0.3336)
Zn (0.3333, 0.6667, 0.8341)
Hg (0.0000, 0.0000, 0.8323)

## Properties
formation enthalpy at 0 K = -82.3 meV per atom
crystal system = hexagonal
SG = P-6m2 (187)
density of states at the Fermi level = 0.598 states/eV/f.u.
offset from the most stable computed form = 3 kJ/mol of formula units

Record 8
Compound: Mg2ZnHg
Source: Alexandria
Functional: PBE
Structure: relaxed

Cell: 4.3789 4.3789 10.0581 Å, 77.43 77.43 90.00°
Atoms (fractional coordinates):
Mg (0.6170, 0.1250, 0.2500)
Mg (0.1330, 0.6250, 0.2500)
Mg (0.3750, 0.3830, 0.7500)
Mg (0.8750, 0.8670, 0.7500)
Zn (0.5000, 0.5000, 0.0000)
Zn (0.2500, 0.7500, 0.5000)
Hg (0.0000, 0.0000, 0.0000)
Hg (0.7500, 0.2500, 0.5000)

## Properties
formation enthalpy at 0 K = 69.8 meV per atom
crystal system = tetragonal
SG = I-42d (122)
density of states at the Fermi level = 1.612 states/eV/f.u.
offset from the most stable computed form = 85 kJ/mol of formula units

Record 9
Compound: Mg4ZnHg2
Source: Alexandria
Functional: PBE
Structure: relaxed

Cell: 4.7687 4.7687 8.2066 Å, 73.11 73.11 60.00°
Atoms (fractional coordinates):
Mg (0.8746, 0.8746, 0.3763)
Mg (0.1254, 0.1254, 0.6237)
Mg (0.6231, 0.6231, 0.1307)
Mg (0.3769, 0.3769, 0.8693)
Zn (0.0000, 0.0000, 0.0000)
Hg (0.7515, 0.7515, 0.7455)
Hg (0.2485, 0.2485, 0.2545)

## Properties
formation enthalpy at 0 K = -138.8 meV per atom
crystal system = trigonal
SG = R-3m (166)
density of states at the Fermi level = 3.061 states/eV/f.u.

Record 10
Compound: Mg3Zn2Hg
Source: Alexandria
Functional: PBE
Structure: relaxed

Cell: 3.6738 4.5673 13.7135 Å, 90.00 90.00 90.00°
Atoms (fractional coordinates):
Mg (0.5000, 0.5000, 0.6697)
Mg (0.4999, 0.0000, 0.5000)
Mg (0.5000, 0.5000, 0.3303)
Mg (0.5000, 0.0000, 0.1697)
Mg (0.5001, 0.5000, 0.0000)
Mg (0.5000, 0.0000, 0.8303)
Zn (0.0000, 0.0000, 0.6718)
Zn (0.0000, 0.0000, 0.3282)
Zn (0.0000, 0.5000, 0.1718)
Zn (0.0000, 0.5000, 0.8282)
Hg (0.9999, 0.5000, 0.5000)
Hg (0.0001, 0.0000, 0.0000)

## Properties
formation enthalpy at 0 K = -115.0 meV per atom
crystal system = orthorhombic
SG = Cmmm (65)
density of states at the Fermi level = 1.509 states/eV/f.u.

Record 11
Compound: Mg3ZnHg6
Source: Alexandria
Functional: PBE
Structure: relaxed

Cell: 3.7393 5.1985 23.1137 Å, 90.00 98.05 90.00°
Atoms (fractional coordinates):
Mg (0.6952, 0.7486, 0.6952)
Mg (0.5000, 0.5000, 0.0000)
Mg (0.3048, 0.2514, 0.3048)
Mg (0.1951, 0.7514, 0.1951)
Mg (0.0000, 0.0000, 0.5000)
Mg (0.8049, 0.2486, 0.8049)
Zn (0.5000, 0.5000, 0.5000)
Zn (0.0000, 0.0000, 0.0000)
Hg (0.4080, 0.1294, 0.9046)
Hg (0.5934, 0.1335, 0.5957)
Hg (0.7956, 0.7536, 0.2960)
Hg (0.2044, 0.2464, 0.7040)
Hg (0.4066, 0.8665, 0.4043)
Hg (0.5920, 0.8706, 0.0954)
Hg (0.9079, 0.3706, 0.4046)
Hg (0.0933, 0.3665, 0.0957)
Hg (0.2957, 0.7464, 0.7961)
Hg (0.7043, 0.2536, 0.2039)
Hg (0.9067, 0.6335, 0.9043)
Hg (0.0921, 0.6294, 0.5954)

## Properties
formation enthalpy at 0 K = -87.8 meV per atom
crystal system = monoclinic
SG = P2_1/c (14)
density of states at the Fermi level = 2.570 states/eV/f.u.

Record 12
Compound: Mg2ZnHg
Source: Alexandria
Functional: PBE
Structure: relaxed

Cell: 3.5406 3.9667 5.8291 Å, 90.00 90.00 90.00°
Atoms (fractional coordinates):
Hg (0.5000, 0.5000, 0.7596)
Mg (0.0000, 0.0000, 0.9822)
Mg (0.5000, 0.5000, 0.2743)
Zn (0.0000, 0.0000, 0.4838)

## Properties
formation enthalpy at 0 K = -76.2 meV per atom
crystal system = orthorhombic
SG = Pmm2 (25)
density of states at the Fermi level = 0.778 states/eV/f.u.
offset from the most stable computed form = 29 kJ/mol of formula units

Record 13
Compound: Mg4ZnHg
Source: Alexandria
Functional: PBE
Structure: relaxed

Cell: 4.5328 4.5341 6.8906 Å, 89.99 90.00 89.99°
Atoms (fractional coordinates):
Mg (0.5014, 0.9970, 0.2583)
Mg (0.5013, 0.9973, 0.7380)
Mg (0.0013, 0.4973, 0.7379)
Mg (0.0014, 0.4970, 0.2583)
Zn (0.0011, 0.9976, 0.4982)
Hg (0.5012, 0.4975, 0.9982)

## Properties
formation enthalpy at 0 K = -44.6 meV per atom
crystal system = tetragonal
SG = P4/mmm (123)
density of states at the Fermi level = 3.131 states/eV/f.u.
offset from the most stable computed form = 26 kJ/mol of formula units